[1]
Density functional theory data (PBE-GGA) for a relaxed TlMoRu2 crystal.

Values from the calculation:
Raw total energy in Ha/atom: -0.2756
Crystal system: tetragonal
Space-group type: No. 139
E above lowest polymorph in meV/atom: 134

a b c (Å): 4.7703 4.7703 4.7703
angles (deg): 128.43 128.42 75.94
Closest atoms and distances in Å follow each position.
Fractional positions:
Tl: 0.7500 0.2500 0.5000  8 Ru 2.80, 4 Mo 2.93
Ru: 0.5000 0.5000 0.0000  4 Mo 2.80, 4 Tl 2.80, 4 Ru 2.93
Ru: 0.0000 0.0000 0.0000  4 Mo 2.80, 4 Tl 2.80, 4 Ru 2.93
Mo: 0.2500 0.7500 0.5000  8 Ru 2.80, 4 Tl 2.93



[2]
Density functional theory data (PBE-GGA) for a relaxed Cs3PdAu2Br6 crystal.

Values from the calculation:
Raw total energy in Ha/atom: -0.1045
Crystal system: trigonal
Space-group type: No. 164
Raw formation energy in meV/atom: -814.2

a b c (Å): 8.1841 8.1841 9.2253
angles (deg): 90.00 90.00 120.00
Closest atoms and distances in Å follow each position.
Fractional positions:
Cs: 0.6667 0.3333 0.3383  1 Au 3.52
Cs: 0.0000 0.0000 0.0000  6 Br 3.59
Cs: 0.3333 0.6667 0.6617  1 Au 3.52
Br: 0.8486 0.1514 0.6876  1 Au 2.60, 1 Pd 2.76
Br: 0.1514 0.3028 0.3124  1 Au 2.60, 1 Pd 2.76
Br: 0.3028 0.1514 0.6876  1 Au 2.60, 1 Pd 2.76
Br: 0.8486 0.6972 0.6876  1 Au 2.60, 1 Pd 2.76
Br: 0.6972 0.8486 0.3124  1 Au 2.60, 1 Pd 2.76
Br: 0.1514 0.8486 0.3124  1 Au 2.60, 1 Pd 2.76
Au: 0.3333 0.6667 0.2799  3 Br 2.60
Au: 0.6667 0.3333 0.7201  3 Br 2.60
Pd: 0.0000 0.0000 0.5000  6 Br 2.76